(1)
Compound: FeRu2Se
Source: Alexandria via LeMat-Bulk
Functional: GGA-PBE
Structure: relaxed

```
4
Lattice="1.4434 -2.3696 0.0000 1.4434 2.3696 0.0000 0.0000 0.0000 8.6650" Properties=species:S:1:pos:R:3 pbc="T T T"
Fe 0.0000 0.0000 0.0000
Ru 0.0000 0.0000 4.3906
Ru 1.4434 0.0000 6.5867
Se 1.4434 0.0000 2.1475
```

Values from the calculation:
Fermi-level density of states, states/eV per cell: 4.88
E, eV per atom: -7.07
Formation energy from raw total energies, eV/atom: 0.555

(2)
Compound: GdErCuAg
Source: Alexandria via LeMat-Bulk
Functional: GGA-PBE
Structure: relaxed

```
4
Lattice="0.0000 3.5681 3.5681 3.5681 0.0000 3.5681 3.5681 3.5681 0.0000" Properties=species:S:1:pos:R:3 pbc="T T T"
Gd 0.0000 0.0000 0.0000
Er 3.5681 3.5681 3.5681
Cu 5.3522 5.3522 5.3522
Ag 1.7841 1.7841 1.7841
```

Values from the calculation:
Formation enthalpy at 0 K, kJ/mol of atoms: -25
Fermi-level density of states, states/eV per cell: 2.43
E, eV per atom: -6.65

(3)
Compound: KNa17Sr
Source: Alexandria via LeMat-Bulk
Functional: GGA-PBE
Structure: relaxed

```
19
Lattice="6.0370 3.4855 6.0791 -6.0370 3.4855 6.0791 0.0000 -6.9709 6.0791" Properties=species:S:1:pos:R:3 pbc="T T T"
K 0.0000 0.0000 0.0000
Na 0.0000 -3.3212 3.2679
Na -2.8762 1.6606 3.2679
Na -3.0166 -1.7416 9.0052
Na 0.0000 -3.4430 8.7215
Na -2.9817 1.7215 8.7215
Na -1.7915 -3.1653 12.0569
Na -3.6370 0.0312 12.0569
Na 2.8762 1.6606 3.2679
Na 0.0000 0.0000 10.2647
Na 1.7915 -3.1653 12.0569
Na -1.8455 3.1342 12.0569
Na 3.0166 -1.7416 9.0052
Na 0.0000 3.4832 9.0052
Na 0.0000 0.0000 13.8175
Na 2.9817 1.7215 8.7215
Na 3.6370 0.0311 12.0569
Na 1.8455 3.1342 12.0569
Sr 0.0000 0.0000 6.0671
```

Values from the calculation:
Formation enthalpy at 0 K, kJ/mol of atoms: 3
Fermi-level density of states, states/eV per cell: 10.30
E, eV per atom: -1.30

(4)
Compound: ReSiP2
Source: Alexandria via LeMat-Bulk
Functional: GGA-PBE
Structure: relaxed

```
4
Lattice="4.4616 -1.5845 0.0000 4.4616 1.5845 0.0000 -2.6321 0.0000 4.2126" Properties=species:S:1:pos:R:3 pbc="T T T"
Re 0.0000 0.0000 0.0000
Si 1.4026 0.0000 2.1506
P 3.5495 0.0000 1.5185
P 3.8291 0.0000 3.6878
```

Values from the calculation:
Fermi-level density of states, states/eV per cell: 1.83
E, eV per atom: -7.23
Formation energy from raw total energies, eV/atom: -0.061

(5)
Compound: BeTc2As
Source: Alexandria via LeMat-Bulk
Functional: GGA-PBE
Structure: relaxed

```
4
Lattice="3.0465 0.0000 0.0000 0.0000 3.0465 0.0000 0.0000 0.0000 5.6196" Properties=species:S:1:pos:R:3 pbc="T T T"
Be 0.0000 0.0000 0.0000
Tc 0.0000 0.0000 2.8134
Tc 1.5233 1.5233 1.1096
As 1.5233 1.5233 4.2226
```

Values from the calculation:
Formation enthalpy at 0 K, kJ/mol of atoms: -16
Fermi-level density of states, states/eV per cell: 1.59
E, eV per atom: -7.44

Q: Fermi-level density of states of number 1 (FeRu2Se)?
A: 4.88 states/eV per cell

Q: What is the Fermi-level density of states in the fifth record?
A: 1.59 states/eV per cell

Q: Which formula does entry 1 have?
A: FeRu2Se